Record 1
First-principles (PBE-GGA) data for KZnN3 after structural relaxation, as listed in the Alexandria database.

Uncorrected formation energy = 2876 meV per atom
V = 25.0 Å³/atom
Total moment = 8.00 μB per formula unit
E = -2.59 eV per atom

a = 4.9970 Å, b = 4.9970 Å, c = 4.9970 Å
α = 90.00°, β = 90.00°, γ = 90.00°
Positions (direct):
K 0.0000 0.0000 0.0000
Zn 0.5000 0.5000 0.5000
N 0.0000 0.0000 0.5000
N 0.0000 0.5000 0.0000
N 0.5000 0.0000 0.0000

=====

Record 2
First-principles (PBE-GGA) data for TlV2P after structural relaxation, as listed in the Alexandria database.

V = 15.6 Å³/atom
Total moment = 0.00 μB per formula unit
Energy relative to the lowest polymorph listed for this composition = 0.000 eV per atom
E = -6.09 eV per atom

a = 6.2907 Å, b = 6.2907 Å, c = 6.2907 Å
α = 90.00°, β = 90.00°, γ = 90.00°
Positions (direct):
Tl 0.0000 0.0000 0.0000
Tl 0.0000 0.5000 0.5000
Tl 0.5000 0.0000 0.5000
Tl 0.5000 0.5000 0.0000
V 0.2500 0.2500 0.2500
V 0.2500 0.2500 0.7500
V 0.2500 0.7500 0.2500
V 0.2500 0.7500 0.7500
V 0.7500 0.2500 0.2500
V 0.7500 0.2500 0.7500
V 0.7500 0.7500 0.2500
V 0.7500 0.7500 0.7500
P 0.0000 0.0000 0.5000
P 0.0000 0.5000 0.0000
P 0.5000 0.0000 0.0000
P 0.5000 0.5000 0.5000

=====

Record 3
First-principles (PBE-GGA) data for Sm3Zn7Cu2 after structural relaxation, as listed in the Alexandria database.

V = 18.4 Å³/atom
Total moment = 0.00 μB per formula unit
E = -2.89 eV per atom

a = 9.2426 Å, b = 9.2426 Å, c = 9.2426 Å
α = 34.06°, β = 34.06°, γ = 34.06°
Positions (direct):
Sm 0.0000 0.0000 0.0000
Sm 0.1415 0.1415 0.1415
Sm 0.8585 0.8585 0.8585
Zn 0.0763 0.5805 0.5805
Zn 0.4195 0.4195 0.9237
Zn 0.4195 0.9237 0.4195
Zn 0.5000 0.5000 0.5000
Zn 0.5805 0.0763 0.5805
Zn 0.5805 0.5805 0.0763
Zn 0.9237 0.4195 0.4195
Cu 0.3342 0.3342 0.3342
Cu 0.6658 0.6658 0.6658

=====

Record 4
First-principles (PBE-GGA) data for TaBiS2Br after structural relaxation, as listed in the Alexandria database.

Uncorrected formation energy = 1266 meV per atom
V = 24.4 Å³/atom
Total moment = 0.00 μB per formula unit
E = -3.87 eV per atom

a = 5.0207 Å, b = 5.0207 Å, c = 4.8326 Å
α = 90.00°, β = 90.00°, γ = 90.00°
Positions (direct):
Ta 0.0000 0.0000 0.0000
Bi 0.5000 0.5000 0.0000
S 0.0000 0.5000 0.5000
S 0.5000 0.0000 0.5000
Br 0.0000 0.0000 0.5000

=====

Record 5
First-principles (PBE-GGA) data for CeTh2Zn after structural relaxation, as listed in the Alexandria database.

V = 28.3 Å³/atom
Total moment = 0.00 μB per formula unit
Energy relative to the lowest polymorph listed for this composition = 0.084 eV per atom
E = -5.45 eV per atom

a = 3.5078 Å, b = 3.5078 Å, c = 31.8994 Å
α = 90.00°, β = 90.00°, γ = 120.00°
Positions (direct):
Ce 0.0000 0.0000 0.0000
Ce 0.3333 0.6667 0.6667
Ce 0.6667 0.3333 0.3333
Th 0.0000 0.0000 0.5763
Th 0.0000 0.0000 0.7575
Th 0.3333 0.6667 0.2429
Th 0.3333 0.6667 0.4242
Th 0.6667 0.3333 0.0909
Th 0.6667 0.3333 0.9096
Zn 0.0000 0.0000 0.1671
Zn 0.3333 0.6667 0.8337
Zn 0.6667 0.3333 0.5004

=====

Record 6
First-principles (PBE-GGA) data for Ca2PrNdTl4 after structural relaxation, as listed in the Alexandria database.

V = 29.8 Å³/atom
Total moment = 0.00 μB per formula unit
E = -3.28 eV per atom

a = 9.5772 Å, b = 9.5772 Å, c = 9.5772 Å
α = 33.53°, β = 33.53°, γ = 33.53°
Positions (direct):
Ca 0.2500 0.2500 0.2500
Ca 0.7500 0.7500 0.7500
Pr 0.0000 0.0000 0.0000
Nd 0.5000 0.5000 0.5000
Tl 0.1252 0.1252 0.1252
Tl 0.3756 0.3756 0.3756
Tl 0.6244 0.6244 0.6244
Tl 0.8748 0.8748 0.8748

=====

Record 7
First-principles (PBE-GGA) data for ZnNi4P after structural relaxation, as listed in the Alexandria database.

V = 12.2 Å³/atom
Total moment = 0.00 μB per formula unit
E = -4.82 eV per atom

a = 4.6971 Å, b = 4.6971 Å, c = 4.6971 Å
α = 60.00°, β = 60.00°, γ = 60.00°
Positions (direct):
Zn 0.0000 0.0000 0.0000
Ni 0.3752 0.3752 0.3752
Ni 0.3752 0.3752 0.8745
Ni 0.3752 0.8745 0.3752
Ni 0.8745 0.3752 0.3752
P 0.7500 0.7500 0.7500

=====

Record 8
First-principles (PBE-GGA) data for K2YMo after structural relaxation, as listed in the Alexandria database.

V = 29.9 Å³/atom
Total moment = 0.47 μB per formula unit
Energy relative to the lowest polymorph listed for this composition = 0.481 eV per atom
E = -3.61 eV per atom

a = 3.2178 Å, b = 3.2178 Å, c = 40.0250 Å
α = 90.00°, β = 90.00°, γ = 120.00°
Positions (direct):
K 0.0000 0.0000 0.2417
K 0.0000 0.0000 0.7583
K 0.3333 0.6667 0.4250
K 0.3333 0.6667 0.9084
K 0.6667 0.3333 0.0916
K 0.6667 0.3333 0.5750
Y 0.0000 0.0000 0.0000
Y 0.3333 0.6667 0.6667
Y 0.6667 0.3333 0.3333
Mo 0.0000 0.0000 0.5000
Mo 0.3333 0.6667 0.1667
Mo 0.6667 0.3333 0.8333

=====

Record 9
First-principles (PBE-GGA) data for Sb2OsPt after structural relaxation, as listed in the Alexandria database.

Uncorrected formation energy = 183 meV per atom
V = 21.2 Å³/atom
Total moment = 0.00 μB per formula unit
Energy relative to the lowest polymorph listed for this composition = 0.080 eV per atom
E = -6.20 eV per atom

a = 3.2164 Å, b = 3.2164 Å, c = 8.1888 Å
α = 90.00°, β = 90.00°, γ = 90.00°
Positions (direct):
Sb 0.0000 0.0000 0.0000
Sb 0.5000 0.5000 0.4021
Os 0.0000 0.0000 0.5895
Pt 0.5000 0.5000 0.8121

=====

Record 10
First-principles (PBE-GGA) data for Ho2LuBi after structural relaxation, as listed in the Alexandria database.

V = 29.0 Å³/atom
Total moment = 0.00 μB per formula unit
Energy relative to the lowest polymorph listed for this composition = 0.000 eV per atom
E = -4.74 eV per atom

a = 4.1623 Å, b = 4.1623 Å, c = 6.6989 Å
α = 90.00°, β = 90.00°, γ = 90.00°
Positions (direct):
Ho 0.0000 0.0000 0.2435
Ho 0.0000 0.0000 0.7565
Lu 0.5000 0.5000 0.5000
Bi 0.5000 0.5000 0.0000

=====

Record 11
First-principles (PBE-GGA) data for Zn5Cd3Hg12 after structural relaxation, as listed in the Alexandria database.

V = 28.2 Å³/atom
Total moment = 0.00 μB per formula unit
E = -0.50 eV per atom

a = 14.3171 Å, b = 14.3171 Å, c = 14.3171 Å
α = 109.47°, β = 109.47°, γ = 109.47°
Positions (direct):
Zn 0.0000 0.0000 0.0000
Zn 0.0000 0.0000 0.5000
Zn 0.0000 0.5000 0.0000
Zn 0.0000 0.5000 0.5000
Zn 0.1250 0.7500 0.8750
Zn 0.1250 0.8750 0.2500
Zn 0.2500 0.1250 0.8750
Zn 0.2500 0.6250 0.3750
Zn 0.3750 0.2500 0.6250
Zn 0.3750 0.6250 0.7500
Zn 0.5000 0.0000 0.0000
Zn 0.5000 0.0000 0.5000
Zn 0.5000 0.5000 0.0000
Zn 0.5000 0.5000 0.5000
Zn 0.6250 0.3750 0.2500
Zn 0.6250 0.7500 0.3750
Zn 0.7500 0.3750 0.6250
Zn 0.7500 0.8750 0.1250
Zn 0.8750 0.1250 0.7500
Zn 0.8750 0.2500 0.1250
Cd 0.1250 0.2500 0.3750
Cd 0.1250 0.3750 0.7500
Cd 0.2500 0.3750 0.1250
Cd 0.2500 0.8750 0.6250
Cd 0.3750 0.1250 0.2500
Cd 0.3750 0.7500 0.1250
Cd 0.6250 0.2500 0.8750
Cd 0.6250 0.8750 0.7500
Cd 0.7500 0.1250 0.3750
Cd 0.7500 0.6250 0.8750
Cd 0.8750 0.6250 0.2500
Cd 0.8750 0.7500 0.6250
Hg 0.0495 0.2232 0.1221
Hg 0.0495 0.3263 0.9274
Hg 0.0726 0.6221 0.3989
Hg 0.0726 0.9505 0.6737
Hg 0.1011 0.7232 0.6737
Hg 0.1011 0.8779 0.4274
Hg 0.1221 0.0495 0.2232
Hg 0.1221 0.5726 0.8989
Hg 0.1737 0.2232 0.6011
Hg 0.1737 0.4505 0.5726
Hg 0.2232 0.1221 0.0495
Hg 0.2232 0.6011 0.1737
Hg 0.2768 0.3263 0.8989
Hg 0.2768 0.4505 0.3779
Hg 0.3263 0.8989 0.2768
Hg 0.3263 0.9274 0.0495
Hg 0.3779 0.2768 0.4505
Hg 0.3779 0.6011 0.9274
Hg 0.3989 0.0726 0.6221
Hg 0.3989 0.8263 0.7768
Hg 0.4274 0.1011 0.8779
Hg 0.4274 0.8263 0.5495
Hg 0.4505 0.3779 0.2768
Hg 0.4505 0.5726 0.1737
Hg 0.5495 0.4274 0.8263
Hg 0.5495 0.6221 0.7232
Hg 0.5726 0.1737 0.4505
Hg 0.5726 0.8989 0.1221
Hg 0.6011 0.1737 0.2232
Hg 0.6011 0.9274 0.3779
Hg 0.6221 0.3989 0.0726
Hg 0.6221 0.7232 0.5495
Hg 0.6737 0.0726 0.9505
Hg 0.6737 0.1011 0.7232
Hg 0.7232 0.5495 0.6221
Hg 0.7232 0.6737 0.1011
Hg 0.7768 0.3989 0.8263
Hg 0.7768 0.8779 0.9505
Hg 0.8263 0.5495 0.4274
Hg 0.8263 0.7768 0.3989
Hg 0.8779 0.4274 0.1011
Hg 0.8779 0.9505 0.7768
Hg 0.8989 0.1221 0.5726
Hg 0.8989 0.2768 0.3263
Hg 0.9274 0.0495 0.3263
Hg 0.9274 0.3779 0.6011
Hg 0.9505 0.6737 0.0726
Hg 0.9505 0.7768 0.8779

=====

Record 12
First-principles (PBE-GGA) data for PuGaNi3 after structural relaxation, as listed in the Alexandria database.

V = 15.5 Å³/atom
Total moment = 5.12 μB per formula unit
E = -7.20 eV per atom

a = 3.8012 Å, b = 3.8012 Å, c = 10.7008 Å
α = 90.00°, β = 90.00°, γ = 90.00°
Positions (direct):
Pu 0.0000 0.0000 0.0000
Pu 0.5000 0.5000 0.5000
Ga 0.0000 0.0000 0.6466
Ga 0.5000 0.5000 0.1466
Ni 0.0000 0.0000 0.4233
Ni 0.0000 0.5000 0.2825
Ni 0.0000 0.5000 0.7825
Ni 0.5000 0.0000 0.2825
Ni 0.5000 0.0000 0.7825
Ni 0.5000 0.5000 0.9233

=====

Record 13
First-principles (PBE-GGA) data for TcAsPb4 after structural relaxation, as listed in the Alexandria database.

V = 29.1 Å³/atom
Total moment = 2.75 μB per formula unit
E = -4.02 eV per atom

a = 6.2753 Å, b = 6.2753 Å, c = 6.2753 Å
α = 60.00°, β = 60.00°, γ = 60.00°
Positions (direct):
Tc 0.0000 0.0000 0.0000
As 0.7500 0.7500 0.7500
Pb 0.3747 0.3747 0.3747
Pb 0.3747 0.3747 0.8759
Pb 0.3747 0.8759 0.3747
Pb 0.8759 0.3747 0.3747

=====

Record 14
First-principles (PBE-GGA) data for Nd2Er2Sn2C after structural relaxation, as listed in the Alexandria database.

V = 27.1 Å³/atom
Total moment = 0.00 μB per formula unit
E = -5.84 eV per atom

a = 4.7981 Å, b = 4.7981 Å, c = 16.4604 Å
α = 90.00°, β = 90.00°, γ = 90.00°
Positions (direct):
Nd 0.0000 0.0000 0.1607
Nd 0.0000 0.0000 0.8393
Nd 0.5000 0.5000 0.3393
Nd 0.5000 0.5000 0.6607
Er 0.0000 0.5000 0.0000
Er 0.0000 0.5000 0.5000
Er 0.5000 0.0000 0.0000
Er 0.5000 0.0000 0.5000
Sn 0.0000 0.0000 0.3644
Sn 0.0000 0.0000 0.6356
Sn 0.5000 0.5000 0.1356
Sn 0.5000 0.5000 0.8644
C 0.0000 0.0000 0.0000
C 0.5000 0.5000 0.5000

=====

Record 15
First-principles (PBE-GGA) data for MoHIrRh2 after structural relaxation, as listed in the Alexandria database.

V = 12.2 Å³/atom
Total moment = 0.54 μB per formula unit
Energy relative to the lowest polymorph listed for this composition = 0.016 eV per atom
E = -7.61 eV per atom

a = 3.9221 Å, b = 3.9221 Å, c = 3.9518 Å
α = 90.00°, β = 90.00°, γ = 90.00°
Positions (direct):
Mo 0.0000 0.0000 0.0000
H 0.5000 0.5000 0.5000
Ir 0.5000 0.5000 0.0000
Rh 0.0000 0.5000 0.5000
Rh 0.5000 0.0000 0.5000

=====

Record 16
First-principles (PBE-GGA) data for SrY2Cd9 after structural relaxation, as listed in the Alexandria database.

V = 25.1 Å³/atom
Total moment = 0.00 μB per formula unit
E = -2.16 eV per atom

a = 10.1271 Å, b = 10.1271 Å, c = 10.1271 Å
α = 34.74°, β = 34.74°, γ = 34.74°
Positions (direct):
Sr 0.0000 0.0000 0.0000
Y 0.1450 0.1450 0.1450
Y 0.8550 0.8550 0.8550
Cd 0.0767 0.5913 0.5913
Cd 0.3358 0.3358 0.3358
Cd 0.4087 0.4087 0.9233
Cd 0.4087 0.9233 0.4087
Cd 0.5000 0.5000 0.5000
Cd 0.5913 0.0767 0.5913
Cd 0.5913 0.5913 0.0767
Cd 0.6642 0.6642 0.6642
Cd 0.9233 0.4087 0.4087

=====

Record 17
First-principles (PBE-GGA) data for Pr3NiTeCl after structural relaxation, as listed in the Alexandria database.

Uncorrected formation energy = -1025 meV per atom
V = 28.5 Å³/atom
Total moment = 0.00 μB per formula unit
E = -5.21 eV per atom

a = 7.4652 Å, b = 4.0677 Å, c = 11.4343 Å
α = 90.00°, β = 100.42°, γ = 90.00°
Positions (direct):
Pr 0.2175 0.2500 0.0080
Pr 0.2401 0.2500 0.6173
Pr 0.2596 0.7500 0.3184
Pr 0.7404 0.2500 0.6816
Pr 0.7599 0.7500 0.3827
Pr 0.7825 0.7500 0.9920
Ni 0.4926 0.7500 0.5537
Ni 0.5074 0.2500 0.4463
Te 0.0610 0.7500 0.8029
Te 0.9390 0.2500 0.1971
Cl 0.4762 0.7500 0.1298
Cl 0.5238 0.2500 0.8702